1.
! PBE Zn2TcH5, optimized geometry; values from VASP
&SYSTEM
  ibrav = 0, nat = 8, ntyp = 3
/
ATOMIC_SPECIES
H 1.01 H.upf
Zn 65.41 Zn.upf
Tc 98.00 Tc.upf
CELL_PARAMETERS angstrom
3.178 0.057 1.708
1.951 4.510 0.046
-0.571 -0.049 4.878
ATOMIC_POSITIONS angstrom
H 2.443 1.633 2.811
H 2.316 3.494 4.501
H 4.363 3.569 2.998
H 4.246 3.529 5.536
H 3.086 1.266 5.437
Zn 1.744 0.542 4.149
Zn 3.066 2.927 1.624
Tc 3.018 0.231 1.788
! E_tot   -29.4 eV per formula unit



2.
! PBE Zn2TcH2, optimized geometry; values from VASP
&SYSTEM
  ibrav = 0, nat = 10, ntyp = 3
/
ATOMIC_SPECIES
Zn 65.41 Zn.upf
Tc 98.00 Tc.upf
H 1.01 H.upf
CELL_PARAMETERS angstrom
5.402 0.000 0.000
0.000 5.402 0.000
0.000 0.000 3.744
ATOMIC_POSITIONS angstrom
Zn 4.059 1.359 1.872
Zn 1.359 1.342 1.872
Zn 4.043 4.059 1.872
Zn 1.342 4.043 1.872
Tc 0.000 0.000 0.000
Tc 2.701 2.701 0.000
H 1.435 4.136 0.000
H 3.966 1.265 0.000
H 4.136 3.966 0.000
H 1.265 1.435 0.000
! E_tot   -18.9 eV per formula unit



3.
! PBE Zn2TcH, optimized geometry; values from VASP
&SYSTEM
  ibrav = 0, nat = 4, ntyp = 3
/
ATOMIC_SPECIES
Tc 98.00 Tc.upf
Zn 65.41 Zn.upf
H 1.01 H.upf
CELL_PARAMETERS angstrom
1.338 -3.705 1.583
-2.294 -3.521 -0.607
1.419 -3.035 -2.608
ATOMIC_POSITIONS angstrom
Tc 0.232 -5.130 -0.816
Zn 0.347 -7.696 -1.224
Zn 0.116 -2.565 -0.408
H 0.000 0.000 0.000
! E_tot   -12.5 eV per formula unit



4.
! PBE Zn2TcH4, optimized geometry; values from VASP
&SYSTEM
  ibrav = 0, nat = 7, ntyp = 3
/
ATOMIC_SPECIES
H 1.01 H.upf
Zn 65.41 Zn.upf
Tc 98.00 Tc.upf
CELL_PARAMETERS angstrom
-0.051 1.346 -3.107
2.584 -1.992 -0.905
-3.335 -5.339 -4.103
ATOMIC_POSITIONS angstrom
H -0.179 -3.603 -5.248
H -0.623 -2.383 -2.867
H -0.026 0.673 -1.553
H 1.292 -0.996 -0.453
Zn 0.895 -2.432 -4.759
Zn -1.697 -3.554 -3.356
Tc 0.000 0.000 0.000
! E_tot   -22.2 eV per formula unit



5.
! PBE ZnTcH4, optimized geometry; values from VASP
&SYSTEM
  ibrav = 0, nat = 12, ntyp = 3
/
ATOMIC_SPECIES
Zn 65.41 Zn.upf
H 1.01 H.upf
Tc 98.00 Tc.upf
CELL_PARAMETERS angstrom
-0.706 -1.951 -4.995
3.636 -1.207 -3.818
0.357 -4.964 1.819
ATOMIC_POSITIONS angstrom
Zn -0.528 -4.433 -4.085
Zn 3.993 -6.172 -1.998
H 1.353 -3.960 -2.486
H 0.199 -2.534 -2.528
H 1.419 -5.875 -4.917
H 1.868 -2.248 -2.076
H 1.419 -5.890 -1.514
H 1.935 -4.163 -4.506
H 1.867 -2.233 -5.479
H 3.087 -5.589 -4.465
Tc 1.861 -5.518 -3.380
Tc 1.425 -2.604 -3.612
! E_tot   -24.5 eV per formula unit



6.
! PBE ZnTcH2, optimized geometry; values from VASP
&SYSTEM
  ibrav = 0, nat = 4, ntyp = 3
/
ATOMIC_SPECIES
H 1.01 H.upf
Tc 98.00 Tc.upf
Zn 65.41 Zn.upf
CELL_PARAMETERS angstrom
-0.330 2.713 0.081
-2.054 1.169 -1.375
-4.475 0.697 4.557
ATOMIC_POSITIONS angstrom
H -3.238 0.898 2.880
H -3.621 3.681 0.382
Tc -3.430 2.290 1.631
Zn 0.000 0.000 0.000
! E_tot   -17.5 eV per formula unit



7.
! PBE ZnTc3H, optimized geometry; values from VASP
&SYSTEM
  ibrav = 0, nat = 5, ntyp = 3
/
ATOMIC_SPECIES
Tc 98.00 Tc.upf
H 1.01 H.upf
Zn 65.41 Zn.upf
CELL_PARAMETERS angstrom
-0.803 -3.337 1.892
1.781 -2.037 -2.835
3.397 0.279 1.934
ATOMIC_POSITIONS angstrom
Tc 1.699 0.140 0.967
Tc -0.401 -1.668 0.946
Tc 0.891 -1.018 -1.417
H 0.000 0.000 0.000
Zn 2.188 -2.547 0.496
! E_tot   -34.7 eV per formula unit



8.
! PBE ZnTcH2, optimized geometry; values from VASP
&SYSTEM
  ibrav = 0, nat = 4, ntyp = 3
/
ATOMIC_SPECIES
H 1.01 H.upf
Zn 65.41 Zn.upf
Tc 98.00 Tc.upf
CELL_PARAMETERS angstrom
2.936 0.000 0.000
1.468 2.543 0.000
1.468 0.848 4.915
ATOMIC_POSITIONS angstrom
H 1.468 0.848 0.779
H 1.468 0.848 4.086
Zn 2.936 1.695 2.589
Tc 4.404 2.543 4.834
! E_tot   -17.7 eV per formula unit



9.
! PBE Zn2TcH4, optimized geometry; values from VASP
&SYSTEM
  ibrav = 0, nat = 7, ntyp = 3
/
ATOMIC_SPECIES
H 1.01 H.upf
Zn 65.41 Zn.upf
Tc 98.00 Tc.upf
CELL_PARAMETERS angstrom
-3.301 -0.971 -0.985
-0.656 -1.147 3.327
-3.617 3.312 2.355
ATOMIC_POSITIONS angstrom
H -3.009 1.690 1.915
H -4.565 -0.496 2.781
H -1.651 -0.485 -0.493
H -0.328 -0.573 1.663
Zn -2.427 0.139 1.495
Zn -5.147 1.056 3.201
Tc 0.000 0.000 0.000
! E_tot   -24.9 eV per formula unit



10.
! PBE ZnTcH2, optimized geometry; values from VASP
&SYSTEM
  ibrav = 0, nat = 4, ntyp = 3
/
ATOMIC_SPECIES
Zn 65.41 Zn.upf
Tc 98.00 Tc.upf
H 1.01 H.upf
CELL_PARAMETERS angstrom
1.231 -2.255 2.611
-1.155 0.393 3.454
-2.243 -2.492 1.476
ATOMIC_POSITIONS angstrom
Zn 0.000 0.000 0.000
Tc -1.083 -2.177 3.770
H -0.542 -1.088 1.885
H -1.625 -3.265 5.655
! E_tot   -15.8 eV per formula unit



11.
! PBE ZnTc2H2, optimized geometry; values from VASP
&SYSTEM
  ibrav = 0, nat = 5, ntyp = 3
/
ATOMIC_SPECIES
Tc 98.00 Tc.upf
Zn 65.41 Zn.upf
H 1.01 H.upf
CELL_PARAMETERS angstrom
3.130 0.000 0.000
0.000 3.130 0.000
1.565 1.565 4.982
ATOMIC_POSITIONS angstrom
Tc 3.130 3.130 3.434
Tc 1.565 1.565 1.549
Zn 0.000 0.000 0.000
H 3.130 1.565 2.491
H 1.565 3.130 2.491
! E_tot   -28.2 eV per formula unit



12.
! PBE Zn2TcH, optimized geometry; values from VASP
&SYSTEM
  ibrav = 0, nat = 8, ntyp = 3
/
ATOMIC_SPECIES
Zn 65.41 Zn.upf
Tc 98.00 Tc.upf
H 1.01 H.upf
CELL_PARAMETERS angstrom
6.782 0.000 0.000
0.000 6.782 0.000
3.391 3.391 2.067
ATOMIC_POSITIONS angstrom
Zn 4.493 1.696 0.517
Zn 8.478 7.884 1.550
Zn 5.087 5.680 1.550
Zn 2.289 5.087 0.517
Tc 6.782 3.391 1.033
Tc 0.000 0.000 0.000
H 3.391 3.391 0.000
H 3.391 6.782 1.033
! E_tot   -14.7 eV per formula unit



13.
! PBE Zn2TcH6, optimized geometry; values from VASP
&SYSTEM
  ibrav = 0, nat = 18, ntyp = 3
/
ATOMIC_SPECIES
Zn 65.41 Zn.upf
Tc 98.00 Tc.upf
H 1.01 H.upf
CELL_PARAMETERS angstrom
5.526 0.000 0.511
0.000 4.567 0.000
1.131 0.000 7.408
ATOMIC_POSITIONS angstrom
Zn 1.546 4.487 1.158
Zn 5.112 0.080 6.761
Zn 4.874 2.364 5.118
Zn 1.783 2.203 2.801
Tc 0.565 0.000 3.704
Tc 2.763 2.284 0.256
H 3.298 2.360 1.922
H 2.099 0.844 3.875
H 1.864 3.446 4.040
H 4.794 1.121 3.879
H 1.100 4.490 5.371
H 2.596 1.162 7.328
H 4.558 3.723 4.045
H 2.360 3.128 7.493
H 3.359 2.207 5.997
H 5.557 0.077 2.548
H 4.297 1.439 0.426
H 4.061 3.405 0.591
! E_tot   -31.8 eV per formula unit



14.
! PBE Zn2TcH4, optimized geometry; values from VASP
&SYSTEM
  ibrav = 0, nat = 14, ntyp = 3
/
ATOMIC_SPECIES
H 1.01 H.upf
Zn 65.41 Zn.upf
Tc 98.00 Tc.upf
CELL_PARAMETERS angstrom
4.294 0.000 0.000
0.000 4.765 -2.187
0.000 -1.450 7.637
ATOMIC_POSITIONS angstrom
H 2.322 2.598 0.829
H 1.972 0.717 4.621
H 4.119 2.598 0.829
H 1.073 3.515 -1.154
H 1.073 3.216 3.422
H 3.220 0.099 2.028
H 0.175 0.717 4.621
H 3.220 -0.200 6.604
Zn 1.073 1.657 2.056
Zn 1.073 0.054 6.680
Zn 3.220 3.261 -1.230
Zn 3.220 1.658 3.394
Tc 3.220 1.192 0.671
Tc 1.073 2.123 4.779
! E_tot   -25.8 eV per formula unit



15.
! PBE ZnTc3H, optimized geometry; values from VASP
&SYSTEM
  ibrav = 0, nat = 5, ntyp = 3
/
ATOMIC_SPECIES
Tc 98.00 Tc.upf
H 1.01 H.upf
Zn 65.41 Zn.upf
CELL_PARAMETERS angstrom
-1.233 -4.347 0.065
2.036 -0.518 4.000
-3.841 1.120 2.100
ATOMIC_POSITIONS angstrom
Tc -1.920 0.560 1.050
Tc -0.616 -2.173 0.032
Tc 1.018 -0.259 2.000
H -1.519 -1.872 3.083
Zn 0.000 0.000 0.000
! E_tot   -23.0 eV per formula unit



16.
! PBE Zn3TcH3, optimized geometry; values from VASP
&SYSTEM
  ibrav = 0, nat = 14, ntyp = 3
/
ATOMIC_SPECIES
Zn 65.41 Zn.upf
H 1.01 H.upf
Tc 98.00 Tc.upf
CELL_PARAMETERS angstrom
3.614 0.000 0.000
0.000 7.038 -2.111
0.000 1.129 5.439
ATOMIC_POSITIONS angstrom
Zn 0.904 1.641 1.517
Zn 0.904 1.823 4.513
Zn 2.711 6.525 1.811
Zn 0.904 5.041 3.222
Zn 2.711 6.344 -1.185
Zn 2.711 3.125 0.106
H 2.711 4.628 3.582
H 0.904 3.539 -0.254
H 0.904 6.743 0.525
H 0.904 5.455 -1.059
H 2.711 2.711 4.387
H 2.711 1.424 2.803
Tc 0.904 5.038 0.589
Tc 2.711 3.129 2.739
! E_tot   -23.2 eV per formula unit



17.
! PBE ZnTcH2, optimized geometry; values from VASP
&SYSTEM
  ibrav = 0, nat = 8, ntyp = 3
/
ATOMIC_SPECIES
Tc 98.00 Tc.upf
H 1.01 H.upf
Zn 65.41 Zn.upf
CELL_PARAMETERS angstrom
-3.885 -0.392 -1.570
1.157 -3.528 -1.982
-2.477 -4.183 1.531
ATOMIC_POSITIONS angstrom
Tc 0.000 0.000 0.000
Tc -3.863 -3.267 -0.908
H -2.898 -4.554 -0.155
H -0.324 -3.294 -1.029
H -4.227 -6.619 -1.990
H -2.961 -1.737 -0.870
Zn -1.364 -1.960 -1.776
Zn -1.342 -4.835 -1.114
! E_tot   -17.1 eV per formula unit



18.
! PBE Zr2ZnTcH, optimized geometry; values from VASP
&SYSTEM
  ibrav = 0, nat = 5, ntyp = 4
/
ATOMIC_SPECIES
Zr 91.22 Zr.upf
H 1.01 H.upf
Tc 98.00 Tc.upf
Zn 65.41 Zn.upf
CELL_PARAMETERS angstrom
-1.647 -4.270 -0.023
2.421 -0.914 -3.775
2.749 -1.071 2.023
ATOMIC_POSITIONS angstrom
Zr -0.824 -2.135 -0.011
Zr 1.211 -0.457 -1.888
H 0.000 0.000 0.000
Tc 1.762 -3.128 -0.887
Zn 1.375 -0.536 1.011
! E_tot   -33.2 eV per formula unit



19.
! PBE Zr2ZnTcH, optimized geometry; values from VASP
&SYSTEM
  ibrav = 0, nat = 5, ntyp = 4
/
ATOMIC_SPECIES
Zr 91.22 Zr.upf
H 1.01 H.upf
Zn 65.41 Zn.upf
Tc 98.00 Tc.upf
CELL_PARAMETERS angstrom
-3.466 2.929 -0.127
-2.704 -3.270 -1.612
-0.918 -0.937 3.442
ATOMIC_POSITIONS angstrom
Zr -1.733 1.464 -0.064
Zr -1.352 -1.635 -0.806
H 0.000 0.000 0.000
Zn -3.544 -0.639 0.852
Tc -0.459 -0.469 1.721
! E_tot   -33.5 eV per formula unit



20.
! PBE ZrTcH, optimized geometry; values from VASP
&SYSTEM
  ibrav = 0, nat = 12, ntyp = 3
/
ATOMIC_SPECIES
Zr 91.22 Zr.upf
H 1.01 H.upf
Tc 98.00 Tc.upf
CELL_PARAMETERS angstrom
-0.129 -4.416 -0.739
4.758 -0.228 0.531
-0.835 -1.146 6.995
ATOMIC_POSITIONS angstrom
Zr 2.243 -1.376 1.045
Zr 4.118 -4.270 4.436
Zr 1.551 -4.413 5.743
Zr -0.324 -1.520 2.351
H 2.702 -3.626 0.836
H 3.636 -2.053 4.846
H 1.093 -2.163 5.952
H 0.159 -3.737 1.941
Tc -0.771 -2.136 6.114
Tc 1.859 -1.906 4.278
Tc 4.565 -3.653 0.673
Tc 1.935 -3.884 2.510
! E_tot   -22.7 eV per formula unit



21.
! PBE ZrTc2H, optimized geometry; values from VASP
&SYSTEM
  ibrav = 0, nat = 4, ntyp = 3
/
ATOMIC_SPECIES
Tc 98.00 Tc.upf
H 1.01 H.upf
Zr 91.22 Zr.upf
CELL_PARAMETERS angstrom
-0.072 -3.258 2.903
-3.720 -2.144 0.783
-0.470 -4.121 -1.356
ATOMIC_POSITIONS angstrom
Tc -1.065 -2.381 0.582
Tc -3.196 -7.142 1.747
H 0.000 0.000 0.000
Zr -2.131 -4.761 1.165
! E_tot   -29.0 eV per formula unit



22.
! PBE ZrTcH4, optimized geometry; values from VASP
&SYSTEM
  ibrav = 0, nat = 12, ntyp = 3
/
ATOMIC_SPECIES
Zr 91.22 Zr.upf
Tc 98.00 Tc.upf
H 1.01 H.upf
CELL_PARAMETERS angstrom
4.516 0.000 -0.003
0.000 4.508 -0.258
-2.261 -2.000 4.727
ATOMIC_POSITIONS angstrom
Zr 1.129 3.381 -0.194
Zr 3.387 1.127 -0.067
Tc 1.127 1.254 2.233
Tc -1.131 -1.000 2.364
H 0.001 2.328 1.183
H -0.002 0.181 3.285
H 2.253 0.179 3.283
H 2.259 0.074 1.310
H 2.256 2.435 3.154
H -0.005 2.434 3.156
H 2.256 2.327 1.181
H -0.001 0.073 1.312
! E_tot   -34.0 eV per formula unit



23.
! PBE ZrTc3H, optimized geometry; values from VASP
&SYSTEM
  ibrav = 0, nat = 5, ntyp = 3
/
ATOMIC_SPECIES
Tc 98.00 Tc.upf
Zr 91.22 Zr.upf
H 1.01 H.upf
CELL_PARAMETERS angstrom
4.861 0.000 0.000
0.000 4.861 0.000
0.000 0.000 4.861
ATOMIC_POSITIONS angstrom
Tc 0.000 2.431 0.000
Tc 2.431 0.000 0.000
Tc 0.000 0.000 2.431
Zr 0.000 0.000 0.000
H 2.431 2.431 2.431
! E_tot   -29.7 eV per formula unit



24.
! PBE Zr3TcH, optimized geometry; values from VASP
&SYSTEM
  ibrav = 0, nat = 5, ntyp = 3
/
ATOMIC_SPECIES
Zr 91.22 Zr.upf
Tc 98.00 Tc.upf
H 1.01 H.upf
CELL_PARAMETERS angstrom
4.383 0.000 0.000
0.000 4.383 0.000
0.000 0.000 4.383
ATOMIC_POSITIONS angstrom
Zr 2.192 0.000 0.000
Zr 0.000 2.192 0.000
Zr 0.000 0.000 2.192
Tc 2.192 2.192 2.192
H 0.000 0.000 0.000
! E_tot   -39.5 eV per formula unit



25.
! PBE ZrTcH4, optimized geometry; values from VASP
&SYSTEM
  ibrav = 0, nat = 12, ntyp = 3
/
ATOMIC_SPECIES
H 1.01 H.upf
Zr 91.22 Zr.upf
Tc 98.00 Tc.upf
CELL_PARAMETERS angstrom
3.122 0.000 -1.064
0.000 5.081 0.000
0.341 0.000 6.073
ATOMIC_POSITIONS angstrom
H 2.708 5.018 2.817
H 0.000 2.541 0.000
H 0.755 0.063 2.192
H 2.708 2.604 2.817
H 1.726 3.811 -0.050
H 0.755 2.477 2.192
H 1.737 1.270 5.058
H 0.000 0.000 0.000
Zr 1.312 3.811 3.837
Zr 2.151 1.270 1.172
Tc 3.087 1.270 3.908
Tc 0.376 3.811 1.101
! E_tot   -33.5 eV per formula unit



Calculated spin magnetization (μB per atom), listed in the same order as above: 0.0000, 0.1227, 0.4761, 0.2426, 0.0000, 0.0826, 0.0000, 0.0001, 0.0000, 0.2314, 0.0000, 0.0000, 0.1114, 0.0019, 0.0000, 0.0000, 0.0000, 0.0000, 0.0000, 0.0000, 0.0000, 0.0000, 0.9043, 0.0000, 0.0000
Calculated density (g/cm³), listed in the same order as above: 5.276, 7.018, 7.051, 4.735, 4.693, 6.812, 9.944, 7.487, 6.267, 7.904, 8.962, 8.028, 4.231, 5.421, 6.486, 6.717, 7.497, 7.685, 7.588, 8.246, 8.144, 6.837, 5.583, 7.348, 6.537